A plane-wave DFT calculation with PBE with a Hubbard U was carried out for an optimized crystal structure of NaCrOF2.

It has space group P4/mmm (No. 123), with a = 3.979 Å, b = 3.979 Å, c = 3.857 Å, α = 90.00°, β = 90.00° and γ = 90.00°. The asymmetric unit holds Na at (0.000, 0.000, 0.000), Cr at (0.500, 0.500, 0.500), O at (0.500, 0.500, 0.000) and F at (0.000, 0.500, 0.500).

The calculation puts the total magnetic moment at 3.00 μB per formula unit. The value obtained for the relative energy among the computed polymorphs is 0.0 meV/atom.